# 1
## Ti5GaSb4 (PBE)

Data for Ti5GaSb4 after structural relaxation.

```
Ti5GaSb4
1.0
8.509 0.000 0.000
0.000 9.661 0.000
0.000 0.000 5.008
Ti Ga Sb
10 2 8
direct
0.076 0.020 0.247 Ti
0.076 0.480 0.247 Ti
0.250 0.750 0.503 Ti
0.424 0.020 0.247 Ti
0.424 0.480 0.247 Ti
0.576 0.520 0.753 Ti
0.576 0.980 0.753 Ti
0.750 0.250 0.497 Ti
0.924 0.520 0.753 Ti
0.924 0.980 0.753 Ti
0.250 0.250 0.287 Ga
0.750 0.750 0.713 Ga
0.069 0.750 0.019 Sb
0.250 0.033 0.729 Sb
0.250 0.467 0.729 Sb
0.431 0.750 0.019 Sb
0.569 0.250 0.981 Sb
0.750 0.533 0.271 Sb
0.750 0.967 0.271 Sb
0.931 0.250 0.981 Sb
```

Values from the calculation:
D(E_F)   0.878 states/eV per atom
Uncorrected formation energy   -0.257 eV per atom

# 2
## TiGa2Sb2 (PBE)

Data for TiGa2Sb2 after structural relaxation.

```
TiGa2Sb2
1.0
7.276 0.000 0.000
0.000 7.276 0.000
0.000 0.000 4.327
Ti Ga Sb
2 4 4
direct
0.000 0.000 0.000 Ti
0.500 0.500 0.000 Ti
0.161 0.339 0.500 Ga
0.339 0.839 0.500 Ga
0.661 0.161 0.500 Ga
0.839 0.661 0.500 Ga
0.151 0.651 0.000 Sb
0.349 0.151 0.000 Sb
0.651 0.849 0.000 Sb
0.849 0.349 0.000 Sb
```

Values from the calculation:
D(E_F)   0.540 states/eV per atom
Uncorrected formation energy   0.083 eV per atom

# 3
## Ti2GaSb (PBE)

Data for Ti2GaSb after structural relaxation.

```
Ti2GaSb
1.0
3.755 0.000 0.000
0.000 3.920 0.000
-1.884 0.000 5.038
Ti Ga Sb
2 1 1
direct
0.000 0.000 0.000 Ti
0.277 0.500 0.551 Ti
0.749 0.000 0.494 Ga
0.551 0.500 0.102 Sb
```

Values from the calculation:
Energy above the most stable polymorph in this dataset   0 meV per atom
D(E_F)   0.665 states/eV per atom
Uncorrected formation energy   -0.348 eV per atom

# 4
## Ti2GaSb (PBE)

Data for Ti2GaSb after structural relaxation.

```
Ti2GaSb
1.0
3.712 0.000 0.000
-1.856 3.215 0.000
0.000 0.000 19.767
Ti Ga Sb
6 3 3
direct
0.000 0.000 0.243 Ti
0.000 0.000 0.757 Ti
0.333 0.667 0.424 Ti
0.333 0.667 0.910 Ti
0.667 0.333 0.090 Ti
0.667 0.333 0.576 Ti
0.000 0.000 0.500 Ga
0.333 0.667 0.167 Ga
0.667 0.333 0.833 Ga
0.000 0.000 0.000 Sb
0.333 0.667 0.667 Sb
0.667 0.333 0.333 Sb
```

Values from the calculation:
Energy above the most stable polymorph in this dataset   91 meV per atom
D(E_F)   0.491 states/eV per atom
Uncorrected formation energy   -0.257 eV per atom

# 5
## Ti10GaSb6 (PBE)

Data for Ti10GaSb6 after structural relaxation.

```
Ti10GaSb6
1.0
8.119 0.000 0.000
-4.060 7.031 0.000
0.000 0.000 5.526
Ti Ga Sb
10 1 6
direct
0.000 0.262 0.265 Ti
0.000 0.738 0.735 Ti
0.262 0.000 0.265 Ti
0.262 0.262 0.735 Ti
0.333 0.667 0.000 Ti
0.333 0.667 0.500 Ti
0.667 0.333 0.000 Ti
0.667 0.333 0.500 Ti
0.738 0.000 0.735 Ti
0.738 0.738 0.265 Ti
0.000 0.000 0.000 Ga
0.000 0.386 0.753 Sb
0.000 0.614 0.247 Sb
0.386 0.000 0.753 Sb
0.386 0.386 0.247 Sb
0.614 0.000 0.247 Sb
0.614 0.614 0.753 Sb
```

Values from the calculation:
D(E_F)   0.808 states/eV per atom
Uncorrected formation energy   -0.523 eV per atom

# 6
## Ti12Ga2Sb5 (PBE)

Data for Ti12Ga2Sb5 after structural relaxation.

```
Ti12Ga2Sb5
1.0
7.329 -3.307 0.000
7.329 3.307 0.000
-0.951 0.000 8.191
Ti Ga Sb
12 2 5
direct
0.014 0.014 0.179 Ti
0.049 0.617 0.875 Ti
0.152 0.583 0.433 Ti
0.383 0.951 0.125 Ti
0.417 0.848 0.567 Ti
0.472 0.472 0.686 Ti
0.528 0.528 0.314 Ti
0.583 0.152 0.433 Ti
0.617 0.049 0.875 Ti
0.848 0.417 0.567 Ti
0.951 0.383 0.125 Ti
0.986 0.986 0.821 Ti
0.316 0.684 0.000 Ga
0.684 0.316 0.000 Ga
0.000 0.000 0.500 Sb
0.272 0.272 0.645 Sb
0.332 0.332 0.140 Sb
0.668 0.668 0.860 Sb
0.728 0.728 0.355 Sb
```

Values from the calculation:
D(E_F)   1.140 states/eV per atom
Uncorrected formation energy   -0.083 eV per atom

# 7
## Ti2GaSb (PBE)

Data for Ti2GaSb after structural relaxation.

```
Ti2GaSb
1.0
4.031 0.000 0.000
0.000 4.031 0.000
0.000 0.000 19.633
Ti Ga Sb
8 4 4
direct
0.246 0.250 0.125 Ti
0.250 0.746 0.375 Ti
0.250 0.754 0.875 Ti
0.254 0.250 0.625 Ti
0.746 0.750 0.625 Ti
0.750 0.246 0.875 Ti
0.750 0.254 0.375 Ti
0.754 0.750 0.125 Ti
0.000 0.000 0.000 Ga
0.000 0.500 0.250 Ga
0.500 0.000 0.750 Ga
0.500 0.500 0.500 Ga
0.000 0.000 0.500 Sb
0.000 0.500 0.750 Sb
0.500 0.000 0.250 Sb
0.500 0.500 0.000 Sb
```

Values from the calculation:
Energy above the most stable polymorph in this dataset   446 meV per atom
D(E_F)   0.909 states/eV per atom
Uncorrected formation energy   0.097 eV per atom

# 8
## TiGaSb2 (PBE)

Data for TiGaSb2 after structural relaxation.

```
TiGaSb2
1.0
6.358 0.000 0.000
0.000 6.358 0.000
0.000 0.000 12.321
Ti Ga Sb
4 4 8
direct
0.000 0.000 0.000 Ti
0.000 0.500 0.250 Ti
0.500 0.000 0.750 Ti
0.500 0.500 0.500 Ti
0.000 0.000 0.500 Ga
0.000 0.500 0.750 Ga
0.500 0.000 0.250 Ga
0.500 0.500 0.000 Ga
0.250 0.250 0.125 Sb
0.250 0.250 0.625 Sb
0.250 0.750 0.375 Sb
0.250 0.750 0.875 Sb
0.750 0.250 0.375 Sb
0.750 0.250 0.875 Sb
0.750 0.750 0.125 Sb
0.750 0.750 0.625 Sb
```

Values from the calculation:
D(E_F)   0.712 states/eV per atom
Uncorrected formation energy   0.078 eV per atom

# 9
## Ti8Ga2Sb (PBE)

Data for Ti8Ga2Sb after structural relaxation.

```
Ti8Ga2Sb
1.0
3.628 -6.065 0.000
3.628 6.065 0.000
-2.052 0.000 4.435
Ti Ga Sb
8 2 1
direct
0.090 0.319 0.639 Ti
0.230 0.770 0.000 Ti
0.319 0.090 0.639 Ti
0.418 0.418 0.203 Ti
0.582 0.582 0.797 Ti
0.681 0.910 0.361 Ti
0.770 0.230 0.000 Ti
0.910 0.681 0.361 Ti
0.306 0.694 0.500 Ga
0.694 0.306 0.500 Ga
0.000 0.000 0.000 Sb
```

Values from the calculation:
D(E_F)   1.040 states/eV per atom
Uncorrected formation energy   -0.191 eV per atom

# 10
## TiGaSb (PBE)

Data for TiGaSb after structural relaxation.

```
TiGaSb
1.0
4.452 0.000 0.000
-2.226 3.856 0.000
0.000 0.000 3.632
Ti Ga Sb
1 1 1
direct
0.000 0.000 0.000 Ti
0.667 0.333 0.000 Ga
0.333 0.667 0.500 Sb
```

Values from the calculation:
Energy above the most stable polymorph in this dataset   395 meV per atom
D(E_F)   1.115 states/eV per atom
Uncorrected formation energy   0.070 eV per atom

# 11
## Ti4Ga2Sb (PBE)

Data for Ti4Ga2Sb after structural relaxation.

```
Ti4Ga2Sb
1.0
2.377 -3.918 0.000
2.377 3.918 0.000
0.000 0.000 13.104
Ti Ga Sb
8 4 2
direct
0.000 0.000 0.000 Ti
0.000 0.000 0.500 Ti
0.304 0.696 0.647 Ti
0.304 0.696 0.853 Ti
0.375 0.625 0.250 Ti
0.625 0.375 0.750 Ti
0.696 0.304 0.147 Ti
0.696 0.304 0.353 Ti
0.348 0.652 0.053 Ga
0.348 0.652 0.447 Ga
0.652 0.348 0.553 Ga
0.652 0.348 0.947 Ga
0.032 0.968 0.250 Sb
0.968 0.032 0.750 Sb
```

Values from the calculation:
D(E_F)   1.176 states/eV per atom
Uncorrected formation energy   -0.263 eV per atom

# 12
## TiGaSb2 (PBE)

Data for TiGaSb2 after structural relaxation.

```
TiGaSb2
1.0
6.327 0.000 0.000
0.000 3.649 0.000
-2.140 0.000 8.256
Ti Ga Sb
2 2 4
direct
0.000 0.000 0.000 Ti
0.500 0.500 0.000 Ti
0.332 0.500 0.501 Ga
0.832 0.000 0.501 Ga
0.090 0.500 0.774 Sb
0.409 0.000 0.224 Sb
0.590 0.000 0.774 Sb
0.909 0.500 0.224 Sb
```

Values from the calculation:
D(E_F)   0.248 states/eV per atom
Uncorrected formation energy   -0.107 eV per atom

# 13
## Ti5Ga2Sb (PBE)

Data for Ti5Ga2Sb after structural relaxation.

```
Ti5Ga2Sb
1.0
-3.432 3.432 5.852
3.432 -3.432 5.852
3.432 3.432 -5.852
Ti Ga Sb
10 4 2
direct
0.000 0.000 0.000 Ti
0.005 0.505 0.814 Ti
0.190 0.005 0.500 Ti
0.310 0.810 0.814 Ti
0.495 0.310 0.500 Ti
0.500 0.500 0.000 Ti
0.505 0.690 0.500 Ti
0.690 0.190 0.186 Ti
0.810 0.995 0.500 Ti
0.995 0.495 0.186 Ti
0.139 0.361 0.500 Ga
0.361 0.861 0.223 Ga
0.639 0.139 0.777 Ga
0.861 0.639 0.500 Ga
0.250 0.250 0.000 Sb
0.750 0.750 0.000 Sb
```

Values from the calculation:
D(E_F)   1.206 states/eV per atom
Uncorrected formation energy   -0.442 eV per atom

# 14
## Ti2GaSb (PBE)

Data for Ti2GaSb after structural relaxation.

```
Ti2GaSb
1.0
4.153 0.000 0.000
-2.076 3.597 0.000
0.000 0.000 16.805
Ti Ga Sb
6 3 3
direct
0.000 0.000 0.000 Ti
0.000 0.000 0.166 Ti
0.333 0.667 0.667 Ti
0.333 0.667 0.833 Ti
0.667 0.333 0.333 Ti
0.667 0.333 0.499 Ti
0.000 0.000 0.413 Ga
0.333 0.667 0.079 Ga
0.667 0.333 0.746 Ga
0.000 0.000 0.583 Sb
0.333 0.667 0.250 Sb
0.667 0.333 0.917 Sb
```

Values from the calculation:
Energy above the most stable polymorph in this dataset   213 meV per atom
D(E_F)   0.596 states/eV per atom
Uncorrected formation energy   -0.135 eV per atom

# 15
## TiGaSb (PBE)

Data for TiGaSb after structural relaxation.

```
TiGaSb
1.0
3.556 0.000 0.000
0.000 3.556 0.000
0.000 0.000 9.007
Ti Ga Sb
2 2 2
direct
0.000 0.000 0.000 Ti
0.500 0.500 0.500 Ti
0.000 0.000 0.656 Ga
0.500 0.500 0.156 Ga
0.000 0.000 0.337 Sb
0.500 0.500 0.837 Sb
```

Values from the calculation:
Energy above the most stable polymorph in this dataset   90 meV per atom
D(E_F)   1.353 states/eV per atom
Uncorrected formation energy   -0.235 eV per atom

# 16
## Ti5GaSb2 (PBE)

Data for Ti5GaSb2 after structural relaxation.

```
Ti5GaSb2
1.0
-5.236 5.236 2.598
5.236 -5.236 2.598
5.236 5.236 -2.598
Ti Ga Sb
10 2 4
direct
0.074 0.783 0.857 Ti
0.217 0.074 0.291 Ti
0.250 0.750 0.500 Ti
0.283 0.574 0.857 Ti
0.426 0.283 0.709 Ti
0.574 0.717 0.291 Ti
0.717 0.426 0.143 Ti
0.750 0.250 0.500 Ti
0.783 0.926 0.709 Ti
0.926 0.217 0.143 Ti
0.250 0.250 0.000 Ga
0.750 0.750 0.000 Ga
0.164 0.336 0.500 Sb
0.336 0.836 0.171 Sb
0.664 0.164 0.829 Sb
0.836 0.664 0.500 Sb
```

Values from the calculation:
Energy above the most stable polymorph in this dataset   0 meV per atom
D(E_F)   0.694 states/eV per atom
Uncorrected formation energy   -0.546 eV per atom

# 17
## Ti6Ga3Sb (PBE)

Data for Ti6Ga3Sb after structural relaxation.

```
Ti6Ga3Sb
1.0
4.336 -6.354 0.000
4.336 6.354 0.000
0.000 0.000 6.566
Ti Ga Sb
12 6 2
direct
0.029 0.971 0.500 Ti
0.096 0.486 0.976 Ti
0.230 0.320 0.643 Ti
0.299 0.701 0.604 Ti
0.320 0.230 0.143 Ti
0.486 0.096 0.476 Ti
0.514 0.904 0.976 Ti
0.680 0.770 0.643 Ti
0.701 0.299 0.104 Ti
0.770 0.680 0.143 Ti
0.904 0.514 0.476 Ti
0.971 0.029 0.000 Ti
0.029 0.281 0.301 Ga
0.281 0.029 0.801 Ga
0.458 0.542 0.922 Ga
0.542 0.458 0.422 Ga
0.719 0.971 0.301 Ga
0.971 0.719 0.801 Ga
0.183 0.817 0.219 Sb
0.817 0.183 0.719 Sb
```

Values from the calculation:
D(E_F)   1.141 states/eV per atom
Uncorrected formation energy   -0.208 eV per atom

# 18
## TiGaSb2W (PBE)

Data for TiGaSb2W after structural relaxation.

```
TiGaSb2W
1.0
5.212 0.000 0.000
0.000 5.212 0.000
0.000 0.000 4.824
Ti Ga Sb W
1 1 2 1
direct
0.000 0.000 0.000 Ti
0.500 0.500 0.500 Ga
0.000 0.500 0.000 Sb
0.500 0.000 0.000 Sb
0.000 0.000 0.500 W
```

Values from the calculation:
D(E_F)   0.730 states/eV per atom
Uncorrected formation energy   0.998 eV per atom

# 19
## ZrTi2GaSb (PBE)

Data for ZrTi2GaSb after structural relaxation.

```
ZrTi2GaSb
1.0
4.873 0.000 0.000
0.000 4.873 0.000
0.000 0.000 5.150
Zr Ti Ga Sb
1 2 1 1
direct
0.000 0.000 0.000 Zr
0.000 0.500 0.000 Ti
0.500 0.000 0.000 Ti
0.000 0.000 0.500 Ga
0.500 0.500 0.500 Sb
```

Values from the calculation:
D(E_F)   1.012 states/eV per atom
Uncorrected formation energy   0.872 eV per atom

# 20
## TlGa2Sb2 (PBE)

Data for TlGa2Sb2 after structural relaxation.

```
TlGa2Sb2
1.0
4.428 0.000 0.000
0.000 4.428 0.000
0.000 0.000 14.746
Tl Ga Sb
2 4 4
direct
0.000 0.000 0.000 Tl
0.500 0.500 0.500 Tl
0.000 0.500 0.250 Ga
0.000 0.500 0.750 Ga
0.500 0.000 0.250 Ga
0.500 0.000 0.750 Ga
0.000 0.000 0.369 Sb
0.000 0.000 0.631 Sb
0.500 0.500 0.131 Sb
0.500 0.500 0.869 Sb
```

Values from the calculation:
Energy above the most stable polymorph in this dataset   0 meV per atom
D(E_F)   0.299 states/eV per atom
Uncorrected formation energy   -0.018 eV per atom